## a
## Hg2AsBr (meta-GGA SCAN)

Data for Hg2AsBr at its PBEsol-relaxed geometry.

Cell lengths 3.593, 3.593, 7.966 Å; angles 90.00, 90.00, 111.09 degrees
Fractional positions:
As  0.500  0.500  0.500
Hg  0.000  0.000  0.268
Hg  0.000  0.000  0.732
Br  0.500  0.500  0.000

Results
- M_tot (μB/cell) = 0.0



## b
## Hg2AsBr (meta-GGA SCAN)

Data for Hg2AsBr at its PBEsol-relaxed geometry.

Cell lengths 6.352, 6.352, 8.086 Å; angles 113.13, 113.13, 90.00 degrees
Fractional positions:
As  0.750  0.250  0.500
As  0.500  0.500  0.000
Hg  0.445  0.875  0.250
Hg  0.805  0.375  0.250
Hg  0.125  0.195  0.750
Hg  0.625  0.555  0.750
Br  0.250  0.750  0.500
Br  0.000  0.000  0.000

Results
- M_tot (μB/cell) = 0.0



Of them, a has the lowest stability.



## a
## SiHgAs2Br (meta-GGA SCAN)

Data for SiHgAs2Br at its PBEsol-relaxed geometry.

Cell lengths 5.081, 5.081, 5.374 Å; angles 90.00, 90.00, 90.00 degrees
Last column: magnetic moment on the atom in μB.
Fractional positions:
As  0.000  0.500  0.000  0.35
As  0.500  0.000  0.000  0.35
Si  0.500  0.500  0.500  -0.12
Hg  0.000  0.000  0.000  0.01
Br  0.000  0.000  0.500  0.12

Results
- M_tot (μB/cell) = 1.2



## b
## SiHgAs2Br (meta-GGA SCAN)

Data for SiHgAs2Br at its PBEsol-relaxed geometry.

Cell lengths 4.812, 4.812, 5.002 Å; angles 90.00, 90.00, 90.00 degrees
Last column: magnetic moment on the atom in μB.
Fractional positions:
As  0.000  0.500  0.000  0.25
As  0.500  0.000  0.000  0.25
Si  0.000  0.000  0.000  -0.01
Hg  0.500  0.500  0.500  0.03
Br  0.000  0.000  0.500  0.11

Results
- M_tot (μB/cell) = 1.1



Of them, a has the lowest stability.